1.
Below is a geometry-optimized In3Hg3I structure, with properties calculated at the PBE level.

Cell: 7.9773 7.9773 23.5586 Å, 90.00 90.00 120.00°
Space group R-3 (No. 148, hexagonal axes)
Symmetry-distinct sites (fractional):
In (0.0091, 0.7663, 0.4379)
Hg (0.0557, 0.4606, 0.3678)
I (0.0000, 0.0000, 0.1543)

## Properties
The value obtained for the formation energy from raw total energies is -0.03 eV/atom. For the density of states at the Fermi level, the calculation gives 0.447 states/eV per atom. The value obtained for the total energy is -65.18 eV per cell. For the energy above the most stable polymorph in this dataset, the calculation gives 0 meV per atom.



2.
Below is a geometry-optimized InHgI structure, with properties calculated at the PBE level.

Cell: 12.0019 4.8178 8.5840 Å, 90.00 102.11 90.00°
Space group C2/m (No. 12)
Symmetry-distinct sites (fractional):
In (0.1930, 0.0000, 0.2087)
Hg (0.1176, 0.5000, 0.4386)
I (0.1201, 0.0000, 0.8196)

## Properties
The value obtained for the formation energy from raw total energies is -0.28 eV/atom. The value obtained for the total energy is -21.67 eV per cell. For the energy above the most stable polymorph in this dataset, the calculation gives 8 meV per atom.



3.
Below is a geometry-optimized InHg2I structure, with properties calculated at the PBE level.

Cell: 6.6758 6.7474 7.5116 Å, 98.58 115.94 103.85°
Space group P-1 (No. 2)
Symmetry-distinct sites (fractional):
In (0.1475, 0.1961, 0.4178)
Hg (0.0987, 0.7615, 0.0407)
Hg (0.3836, 0.2441, 0.8988)
I (0.3297, 0.7101, 0.5572)

## Properties
The value obtained for the formation energy from raw total energies is -0.21 eV/atom. The value obtained for the total energy is -11.46 eV per cell. For the energy above the most stable polymorph in this dataset, the calculation gives 16 meV per atom.